No. 1
This record from Alexandria via LeMat-Bulk describes a relaxed Er5TlCu4 crystal. The functional is PBE.

N(E_F) = 5.596 states/eV/f.u.
DFT formation energy = -2.81 eV per formula unit
Total magnetic moment = 0.000 μB/f.u.
Calculated volume = 21.6 A^3/atom

a b c (Å): 3.451 3.451 18.127
angles (deg): 90.00 90.00 90.00
Positions (direct):
Er  0.000  0.000  0.000
Er  0.000  0.000  0.190
Er  0.000  0.000  0.379
Er  0.000  0.000  0.621
Er  0.000  0.000  0.810
Tl  0.500  0.500  0.500
Cu  0.500  0.500  0.095
Cu  0.500  0.500  0.285
Cu  0.500  0.500  0.715
Cu  0.500  0.500  0.905



No. 2
This record from Alexandria via LeMat-Bulk describes a relaxed CuTeP2O crystal. The functional is PBE.

N(E_F) = 4.392 states/eV/f.u.
Energy relative to the elements, uncorrected = 825 meV per atom
Total magnetic moment = 0.000 μB/f.u.
Calculated volume = 20.5 A^3/atom

a b c (Å): 5.148 5.148 3.870
angles (deg): 90.00 90.00 90.00
Positions (direct):
Cu  0.000  0.000  0.000
Te  0.500  0.500  0.500
P  0.000  0.500  0.500
P  0.500  0.000  0.500
O  0.500  0.500  0.000



No. 3
This record from Alexandria via LeMat-Bulk describes a relaxed YGaSnSe2 crystal. The functional is PBE.

N(E_F) = 3.906 states/eV/f.u.
Energy relative to the elements, uncorrected = -185 meV per atom
Total magnetic moment = 0.000 μB/f.u.
Calculated volume = 32.6 A^3/atom

a b c (Å): 5.440 5.440 5.516
angles (deg): 90.00 90.00 90.00
Positions (direct):
Y  0.000  0.000  0.000
Ga  0.000  0.000  0.500
Sn  0.500  0.500  0.500
Se  0.000  0.500  0.000
Se  0.500  0.000  0.000



No. 4
This record from Alexandria via LeMat-Bulk describes a relaxed Ti2SiIr crystal. The functional is PBE.

N(E_F) = 3.282 states/eV/f.u.
Energy relative to the elements, uncorrected = -724 meV per atom
Total magnetic moment = 0.000 μB/f.u.
Calculated volume = 14.6 A^3/atom

a b c (Å): 3.836 3.836 3.974
angles (deg): 90.00 90.00 90.00
Positions (direct):
Ti  0.000  0.500  0.000
Ti  0.500  0.000  0.000
Si  0.000  0.000  0.500
Ir  0.500  0.500  0.500



No. 5
This record from Alexandria via LeMat-Bulk describes a relaxed TlCuAg2Br6 crystal. The functional is PBE.

N(E_F) = 3.509 states/eV/f.u.
Energy relative to the elements, uncorrected = -362 meV per atom
Total magnetic moment = 0.000 μB/f.u.
Calculated volume = 38.1 A^3/atom

a b c (Å): 10.214 10.214 8.920
angles (deg): 114.27 114.27 71.69
Positions (direct):
Tl  0.240  0.760  0.750
Tl  0.760  0.240  0.250
Cu  0.318  0.682  0.250
Cu  0.682  0.318  0.750
Ag  0.135  0.292  0.143
Ag  0.292  0.135  0.643
Ag  0.708  0.865  0.357
Ag  0.865  0.708  0.857
Br  0.107  0.249  0.403
Br  0.160  0.599  0.962
Br  0.249  0.107  0.903
Br  0.255  0.534  0.349
Br  0.401  0.840  0.538
Br  0.466  0.745  0.151
Br  0.534  0.255  0.849
Br  0.599  0.160  0.462
Br  0.745  0.466  0.651
Br  0.751  0.893  0.097
Br  0.840  0.401  0.038
Br  0.893  0.751  0.597



No. 6
This record from Alexandria via LeMat-Bulk describes a relaxed Ac4Pt2Pb crystal. The functional is PBE.

N(E_F) = 7.231 states/eV/f.u.
DFT formation energy = -5.36 eV per formula unit
Total magnetic moment = 0.000 μB/f.u.
Calculated volume = 37.4 A^3/atom

a b c (Å): 8.785 8.785 10.186
angles (deg): 125.27 125.27 70.14
Positions (direct):
Ac  0.000  0.000  0.184
Ac  0.000  0.000  0.816
Ac  0.427  0.569  0.683
Ac  0.431  0.573  0.317
Ac  0.495  0.136  0.817
Ac  0.566  0.066  0.316
Ac  0.864  0.505  0.183
Ac  0.934  0.434  0.684
Pt  0.215  0.285  0.249
Pt  0.714  0.284  0.749
Pt  0.715  0.785  0.751
Pt  0.716  0.286  0.251
Pb  0.090  0.910  0.500
Pb  0.339  0.661  0.000



Across the entries above, total DFT energy (no corrections) takes the values -4.44; -3.78; -4.28; -8.24; -2.58; -5.37 eV per atom, respectively.